1.
VASP calculation (PBE) on an optimized crystal structure of LaMgSc2Cd4.

Properties
SG	No. 166
D(E_F)	0.814	states/eV/atom
V	195.5	Å³ per cell
E_form	-0.22	eV/atom
total energy	-24.628	eV for the cell shown

Cell lengths 9.4279, 9.4279, 9.4279 Å; angles 30.85, 30.85, 30.85 degrees
With the nearest neighbours (Å) after each atom.
Atoms (fractional coordinates):
La (0.0000, 0.0000, 0.0000)  8 Cd 3.26-3.42
Mg (0.5000, 0.5000, 0.5000)  8 Cd 2.99-3.09
Sc (0.2417, 0.2417, 0.2417)  7 Cd 3.05-3.09
Sc (0.7583, 0.7583, 0.7583)  7 Cd 3.05-3.09
Cd (0.1270, 0.1270, 0.1270)  4 Sc 3.05-3.09, 3 Mg 3.09
Cd (0.3889, 0.3889, 0.3889)  1 Mg 2.99, 3 Sc 3.05, 3 La 3.26
Cd (0.6111, 0.6111, 0.6111)  1 Mg 2.99, 3 Sc 3.05, 3 La 3.26
Cd (0.8730, 0.8730, 0.8730)  4 Sc 3.05-3.09, 3 Mg 3.09

2.
VASP calculation (PBE) on an optimized crystal structure of GaRe2Bi2.

Properties
SG	No. 127
ΔE to the lowest computed polymorph	0	meV per atom
D(E_F)	0.686	states/eV/atom
V	216.9	Å³ per cell
E_form	0.71	eV/atom
total energy	-64.297	eV for the cell shown

Cell lengths 6.6512, 6.6512, 4.9038 Å; angles 90.00, 90.00, 90.00 degrees
With the nearest neighbours (Å) after each atom.
Atoms (fractional coordinates):
Ga (0.0000, 0.0000, 0.0000)  4 Re 2.63
Ga (0.5000, 0.5000, 0.0000)  4 Re 2.63
Re (0.1258, 0.3742, 0.0000)  1 Re 2.37, 2 Ga 2.63
Re (0.3742, 0.8742, 0.0000)  1 Re 2.37, 2 Ga 2.63
Re (0.6258, 0.1258, 0.0000)  1 Re 2.37, 2 Ga 2.63
Re (0.8742, 0.6258, 0.0000)  1 Re 2.37, 2 Ga 2.63
Bi (0.1780, 0.6780, 0.5000)  6 Re 3.07-3.20, 1 Bi 3.35
Bi (0.3220, 0.1780, 0.5000)  6 Re 3.07-3.20, 1 Bi 3.35
Bi (0.6780, 0.8220, 0.5000)  6 Re 3.07-3.20, 1 Bi 3.35
Bi (0.8220, 0.3220, 0.5000)  6 Re 3.07-3.20, 1 Bi 3.35

3.
VASP calculation (PBE) on an optimized crystal structure of RbNbVOs2.

Properties
SG	No. 123
D(E_F)	1.283	states/eV/atom
V	97.3	Å³ per cell
E_form	3.23	eV/atom
total energy	-26.473	eV for the cell shown

Cell lengths 4.6844, 4.6844, 4.4335 Å; angles 90.00, 90.00, 90.00 degrees
With the nearest neighbours (Å) after each atom.
Atoms (fractional coordinates):
Rb (0.0000, 0.0000, 0.0000)  2 V 2.22, 4 Os 2.34
Nb (0.5000, 0.5000, 0.5000)  8 Os 3.22, 4 V 3.31
V (0.0000, 0.0000, 0.5000)  2 Rb 2.22
Os (0.0000, 0.5000, 0.0000)  2 Rb 2.34
Os (0.5000, 0.0000, 0.0000)  2 Rb 2.34

> Which value of D(E_F) does entry 2 give?

0.686 states/eV/atom